This record from Alexandria via LeMat-Bulk describes a relaxed structure of AgC. The functional is PBEsol.

The structure belongs to space group P4/mmm (No. 123); the cell edges are 3.074, 3.074 and 2.684 Å and the angles 90.00°, 90.00° and 90.00°. The distinct sites, in fractional coordinates, are Ag at (0.000, 0.000, 0.000) and C at (0.500, 0.500, 0.000).

The calculation puts the formation energy at 435 kJ/mol of formula units. For the total DFT energy (no corrections), the calculation gives -0.310 Ry per atom. For the excess energy over the best structure of this formula in the dataset, the calculation gives 0.981 eV per atom. For the mass density, the calculation gives 7.85 Mg/m³. The value obtained for the density of states at the Fermi level is 0.771 states/eV per atom.

This record from Alexandria via LeMat-Bulk describes a relaxed structure of Ag5C3. The functional is PBEsol.

The structure belongs to space group Cmmm (No. 65); the cell edges are 7.295, 9.621 and 3.085 Å and the angles 90.00°, 90.00° and 90.00°. The distinct sites, in fractional coordinates, are Ag at (0.000, 0.000, 0.000), Ag at (0.194, 0.500, 0.500), Ag at (0.250, 0.250, 0.000), C at (0.000, 0.183, 0.500) and C at (0.000, 0.500, 0.000).

The calculation puts the formation energy at 1334 kJ/mol of formula units. For the total DFT energy (no corrections), the calculation gives -0.291 Ry per atom. For the mass density, the calculation gives 8.83 Mg/m³. The value obtained for the density of states at the Fermi level is 0.591 states/eV per atom.

This record from Alexandria via LeMat-Bulk describes a relaxed structure of AgC. The functional is PBEsol.

The structure belongs to space group I4_1/amd (No. 141, origin choice 2); the cell edges are 3.210, 3.210 and 9.389 Å and the angles 90.00°, 90.00° and 90.00°. The distinct sites, in fractional coordinates, are Ag at (0.000, 0.250, 0.375) and C at (0.000, 0.250, 0.875).

The calculation puts the formation energy at 446 kJ/mol of formula units. For the total DFT energy (no corrections), the calculation gives -0.306 Ry per atom. For the excess energy over the best structure of this formula in the dataset, the calculation gives 1.041 eV per atom. For the mass density, the calculation gives 8.23 Mg/m³. The value obtained for the density of states at the Fermi level is 0.528 states/eV per atom.

This record from Alexandria via LeMat-Bulk describes a relaxed structure of Ag4C5. The functional is PBEsol.

The structure belongs to space group I4/mmm (No. 139); the cell edges are 9.996, 9.996 and 2.607 Å and the angles 90.00°, 90.00° and 90.00°. The distinct sites, in fractional coordinates, are Ag at (0.000, 0.216, 0.000), C at (0.000, 0.000, 0.000) and C at (0.230, 0.230, 0.000).

The calculation puts the formation energy at 1165 kJ/mol of formula units. For the total DFT energy (no corrections), the calculation gives -0.403 Ry per atom. For the mass density, the calculation gives 6.27 Mg/m³. The value obtained for the density of states at the Fermi level is 0.456 states/eV per atom.

Question: Which of these has the lowest total DFT energy (no corrections)?
Answer: Ag4C5